No. 1
NaIn2H | PBEsol | optimized geometry

Cell and atoms, written as CIF:
```
data_NaIn2H
_chemical_formula_sum 'Na4 In8 H4'
_cell_length_a 6.911
_cell_length_b 6.911
_cell_length_c 6.911
_cell_angle_alpha 90.00
_cell_angle_beta 90.00
_cell_angle_gamma 90.00
_space_group_name_H-M_alt 'F m -3 m'
_space_group_IT_number 225
_space_group_name_Hall '-F 4 2 3'
loop_
_atom_site_label
_atom_site_type_symbol
_atom_site_fract_x
_atom_site_fract_y
_atom_site_fract_z
Na1 Na 0.000 0.000 0.000
In1 In 0.250 0.250 0.250
H1 H 0.000 0.000 0.500
```

Values from the calculation:
calculated density	5.1	g/cm3
E	-2.226	eV per atom

No. 2
SrZnOs2 | PBEsol | optimized geometry

Cell and atoms, written as CIF:
```
data_SrZnOs2
_chemical_formula_sum 'Sr3 Zn3 Os6'
_cell_length_a 2.8256
_cell_length_b 2.8256
_cell_length_c 29.4289
_cell_angle_alpha 90.00
_cell_angle_beta 90.00
_cell_angle_gamma 120.00
_space_group_name_H-M_alt 'R 3 m'
_space_group_IT_number 160
_space_group_name_Hall 'R 3 -2"'
loop_
_atom_site_label
_atom_site_type_symbol
_atom_site_fract_x
_atom_site_fract_y
_atom_site_fract_z
Sr1 Sr 0.0000 0.0000 0.0000
Zn1 Zn 0.0000 0.0000 0.7632
Os1 Os 0.0000 0.0000 0.2394
Os2 Os 0.0000 0.0000 0.5038
```

Values from the calculation:
calculated density	13.1	g/cm3
energy of formation from the pure elements	0.723	eV/atom

No. 3
MnP3C | PBEsol | optimized geometry

Cell and atoms, written as CIF:
```
data_MnP3C
_chemical_formula_sum 'Mn1 P3 C1'
_cell_length_a 3.933
_cell_length_b 3.933
_cell_length_c 3.933
_cell_angle_alpha 90.00
_cell_angle_beta 90.00
_cell_angle_gamma 90.00
_space_group_name_H-M_alt 'P m -3 m'
_space_group_IT_number 221
_space_group_name_Hall '-P 4 2 3'
loop_
_atom_site_label
_atom_site_type_symbol
_atom_site_fract_x
_atom_site_fract_y
_atom_site_fract_z
Mn1 Mn 0.000 0.000 0.000
P1 P 0.000 0.500 0.500
C1 C 0.500 0.500 0.500
```

Values from the calculation:
calculated density	4.4	g/cm3
energy of formation from the pure elements	0.969	eV/atom

No. 4
Zr2TaOs | PBEsol | optimized geometry

Cell and atoms, written as CIF:
```
data_Zr2TaOs
_chemical_formula_sum 'Zr4 Ta2 Os2'
_cell_length_a 3.361
_cell_length_b 4.825
_cell_length_c 9.026
_cell_angle_alpha 90.00
_cell_angle_beta 90.00
_cell_angle_gamma 90.00
_space_group_name_H-M_alt 'C m m m'
_space_group_IT_number 65
_space_group_name_Hall '-C 2 2'
loop_
_atom_site_label
_atom_site_type_symbol
_atom_site_fract_x
_atom_site_fract_y
_atom_site_fract_z
Zr1 Zr 0.000 0.000 0.232
Ta1 Ta 0.000 0.500 0.500
Os1 Os 0.000 0.500 0.000
```

Values from the calculation:
calculated density	12.6	g/cm3
energy of formation from the pure elements	-0.008	eV/atom
E above lowest polymorph	233	meV/atom

No. 5
TaRuRh2 | PBEsol | optimized geometry

Cell and atoms, written as CIF:
```
data_TaRuRh2
_chemical_formula_sum 'Ta2 Ru2 Rh4'
_cell_length_a 8.979
_cell_length_b 2.753
_cell_length_c 4.735
_cell_angle_alpha 90.00
_cell_angle_beta 100.35
_cell_angle_gamma 90.00
_space_group_name_H-M_alt 'C 1 m 1'
_space_group_IT_number 8
_space_group_name_Hall 'C -2y'
loop_
_atom_site_label
_atom_site_type_symbol
_atom_site_fract_x
_atom_site_fract_y
_atom_site_fract_z
Ta1 Ta 0.000 0.000 0.000
Ru1 Ru 0.251 0.500 0.277
Rh1 Rh 0.251 0.000 0.756
Rh2 Rh 0.497 0.000 0.493
```

Values from the calculation:
calculated density	14.1	g/cm3
energy of formation from the pure elements	-0.241	eV/atom
E above lowest polymorph	231	meV/atom

No. 6
Ni4MoW | PBEsol | optimized geometry

Cell and atoms, written as CIF:
```
data_Ni4MoW
_chemical_formula_sum 'Ni16 Mo4 W4'
_cell_length_a 6.566
_cell_length_b 6.566
_cell_length_c 6.566
_cell_angle_alpha 90.00
_cell_angle_beta 90.00
_cell_angle_gamma 90.00
_space_group_name_H-M_alt 'F -4 3 m'
_space_group_IT_number 216
_space_group_name_Hall 'F -4 2 3'
loop_
_atom_site_label
_atom_site_type_symbol
_atom_site_fract_x
_atom_site_fract_y
_atom_site_fract_z
Ni1 Ni 0.125 0.125 0.125
Mo1 Mo 0.000 0.000 0.500
W1 W 0.250 0.250 0.750
```

Values from the calculation:
calculated density	12.1	g/cm3
energy of formation from the pure elements	-0.034	eV/atom

> Which of these has the lowest calculated density?

MnP3C

> What is the calculated density in the second record?

13.1 g/cm3

What did the sixth record say?
Ni4MoW | PBEsol | optimized geometry

Cell and atoms, written as CIF:
```
data_Ni4MoW
_chemical_formula_sum 'Ni16 Mo4 W4'
_cell_length_a 6.566
_cell_length_b 6.566
_cell_length_c 6.566
_cell_angle_alpha 90.00
_cell_angle_beta 90.00
_cell_angle_gamma 90.00
_space_group_name_H-M_alt 'F -4 3 m'
_space_group_IT_number 216
_space_group_name_Hall 'F -4 2 3'
loop_
_atom_site_label
_atom_site_type_symbol
_atom_site_fract_x
_atom_site_fract_y
_atom_site_fract_z
Ni1 Ni 0.125 0.125 0.125
Mo1 Mo 0.000 0.000 0.500
W1 W 0.250 0.250 0.750
```

Values from the calculation:
calculated density	12.1	g/cm3
energy of formation from the pure elements	-0.034	eV/atom